## Np2AsRh6S (PBE-GGA)

Data for crystalline Np2AsRh6S at its relaxed geometry.

## Properties
- N(E_F): 2.538 states/eV/atom
- Formation energy from raw total energies: -0.31 eV/atom
- Size of the total moment: 13.28 μB/cell

Cell: 5.5242 8.4106 7.8021 Å, 90.00 90.00 90.00°
Last column: nearest neighbours and their distance in Å.
Fractional positions:
1 Np 0.2500 0.0121 0.2318  9 Rh 2.98-3.17
2 Np 0.2500 0.4879 0.2318  9 Rh 2.98-3.17
3 Np 0.7500 0.5121 0.7682  9 Rh 2.98-3.17
4 Np 0.7500 0.9879 0.7682  9 Rh 2.98-3.17
5 As 0.2500 0.7500 0.7750  6 Rh 2.41-2.50
6 As 0.7500 0.2500 0.2250  6 Rh 2.41-2.50
7 Rh 0.0006 0.7500 0.0282  1 S 2.27, 1 As 2.41
8 Rh 0.0016 0.2500 0.4917  1 S 2.38, 1 As 2.50, 2 Rh 2.67
9 Rh 0.2500 0.0020 0.6141  1 S 2.31, 1 As 2.46
10 Rh 0.2500 0.4980 0.6141  1 S 2.31, 1 As 2.46
11 Rh 0.4984 0.2500 0.4917  1 S 2.38, 1 As 2.50, 2 Rh 2.67
12 Rh 0.4994 0.7500 0.0282  1 S 2.27, 1 As 2.41
13 Rh 0.5006 0.2500 0.9718  1 S 2.27, 1 As 2.41
14 Rh 0.5016 0.7500 0.5083  1 S 2.38, 1 As 2.50, 2 Rh 2.67
15 Rh 0.7500 0.5020 0.3859  1 S 2.31, 1 As 2.46
16 Rh 0.7500 0.9980 0.3859  1 S 2.31, 1 As 2.46
17 Rh 0.9984 0.7500 0.5083  1 S 2.38, 1 As 2.50, 2 Rh 2.67
18 Rh 0.9994 0.2500 0.9718  1 S 2.27, 1 As 2.41
19 S 0.2500 0.2500 0.7416  6 Rh 2.27-2.38
20 S 0.7500 0.7500 0.2584  6 Rh 2.27-2.38